(1)
Density functional theory data (PBE) for a geometry-optimized NdZn structure.

```
data_NdZn
_chemical_formula_sum 'Nd12 Zn12'
_space_group_name_H-M_alt 'P b c m'
_space_group_IT_number 57
_space_group_name_Hall '-P 2c 2b'
_cell_length_a 7.121
_cell_length_b 17.499
_cell_length_c 4.732
_cell_angle_alpha 90.00
_cell_angle_beta 90.00
_cell_angle_gamma 90.00
loop_
_atom_site_label
_atom_site_type_symbol
_atom_site_fract_x
_atom_site_fract_y
_atom_site_fract_z
Nd1 Nd 0.039 0.117 0.250
Nd2 Nd 0.327 0.036 0.750
Nd3 Nd 0.445 0.664 0.250
Zn1 Zn 0.136 0.712 0.750
Zn2 Zn 0.219 0.565 0.750
Zn3 Zn 0.243 0.212 0.750
```

## Properties
- DFT formation energy: -23.91 kJ/mol of atoms
- Crystal system: orthorhombic
- Size of the total moment: 0.0 μB per formula unit
- Total DFT energy (no corrections): -3.2616 eV per atom



(2)
Density functional theory data (PBE) for a geometry-optimized TcOsNO structure.

```
data_TcOsNO
_chemical_formula_sum 'Tc2 Os2 N2 O2'
_space_group_name_H-M_alt 'P m c 21'
_space_group_IT_number 26
_space_group_name_Hall 'P 2c -2'
_cell_length_a 2.773
_cell_length_b 5.801
_cell_length_c 5.577
_cell_angle_alpha 90.00
_cell_angle_beta 90.00
_cell_angle_gamma 90.00
loop_
_atom_site_label
_atom_site_type_symbol
_atom_site_fract_x
_atom_site_fract_y
_atom_site_fract_z
Tc1 Tc 0.000 0.230 0.000
Os1 Os 0.500 0.379 0.392
N1 N 0.500 0.314 0.746
O1 O 0.000 0.102 0.352
```

## Properties
- Polymorph energy (0 for the lowest one): 0.022 eV/atom
- Crystal system: orthorhombic
- Size of the total moment: 0.0 μB per formula unit
- Total DFT energy (no corrections): -8.9171 eV per atom



(3)
Density functional theory data (PBE) for a geometry-optimized Hf2ZnAg2 structure.

```
data_Hf2ZnAg2
_chemical_formula_sum 'Hf4 Zn2 Ag4'
_space_group_name_H-M_alt 'I 4/m m m'
_space_group_IT_number 139
_space_group_name_Hall '-I 4 2'
_cell_length_a 3.745
_cell_length_b 3.745
_cell_length_c 14.477
_cell_angle_alpha 90.00
_cell_angle_beta 90.00
_cell_angle_gamma 90.00
loop_
_atom_site_label
_atom_site_type_symbol
_atom_site_fract_x
_atom_site_fract_y
_atom_site_fract_z
Hf1 Hf 0.000 0.000 0.096
Zn1 Zn 0.000 0.000 0.500
Ag1 Ag 0.000 0.500 0.250
```

## Properties
- DFT formation energy: 41.24 kJ/mol of atoms
- Crystal system: tetragonal
- Size of the total moment: 1.3 μB per formula unit
- Total DFT energy (no corrections): -4.9373 eV per atom



(4)
Density functional theory data (PBE) for a geometry-optimized GdBiN2O structure.

```
data_GdBiN2O
_chemical_formula_sum 'Gd4 Bi4 N8 O4'
_space_group_name_H-M_alt 'I m a 2'
_space_group_IT_number 46
_space_group_name_Hall 'I 2 -2a'
_cell_length_a 8.710
_cell_length_b 5.756
_cell_length_c 5.834
_cell_angle_alpha 90.00
_cell_angle_beta 90.00
_cell_angle_gamma 90.00
loop_
_atom_site_label
_atom_site_type_symbol
_atom_site_fract_x
_atom_site_fract_y
_atom_site_fract_z
Gd1 Gd 0.250 0.032 0.000
Bi1 Bi 0.000 0.000 0.523
N1 N 0.085 0.239 0.263
O1 O 0.250 0.639 0.083
```

## Properties
- Crystal system: orthorhombic
- Size of the total moment: 0.0 μB per formula unit
- Total DFT energy (no corrections): -6.6250 eV per atom



(5)
Density functional theory data (PBE) for a geometry-optimized Li4Si2PdPt structure.

```
data_Li4Si2PdPt
_chemical_formula_sum 'Li4 Si2 Pd1 Pt1'
_space_group_name_H-M_alt 'P -4 m 2'
_space_group_IT_number 115
_space_group_name_Hall 'P -4 -2'
_cell_length_a 4.161
_cell_length_b 4.161
_cell_length_c 5.881
_cell_angle_alpha 90.00
_cell_angle_beta 90.00
_cell_angle_gamma 90.00
loop_
_atom_site_label
_atom_site_type_symbol
_atom_site_fract_x
_atom_site_fract_y
_atom_site_fract_z
Li1 Li 0.000 0.000 0.000
Li2 Li 0.000 0.500 0.748
Li3 Li 0.500 0.500 0.500
Si1 Si 0.000 0.500 0.244
Pd1 Pd 0.000 0.000 0.500
Pt1 Pt 0.500 0.500 0.000
```

## Properties
- Crystal system: tetragonal
- Size of the total moment: 0.0 μB per formula unit
- Total DFT energy (no corrections): -4.3254 eV per atom



(6)
Density functional theory data (PBE) for a geometry-optimized Gd2HoCd3CuAu2 structure.

```
data_Gd2HoCd3CuAu2
_chemical_formula_sum 'Gd4 Ho2 Cd6 Cu2 Au4'
_space_group_name_H-M_alt 'A m m 2'
_space_group_IT_number 38
_space_group_name_Hall 'A 2 -2'
_cell_length_a 3.872
_cell_length_b 13.384
_cell_length_c 7.757
_cell_angle_alpha 90.00
_cell_angle_beta 90.00
_cell_angle_gamma 90.00
loop_
_atom_site_label
_atom_site_type_symbol
_atom_site_fract_x
_atom_site_fract_y
_atom_site_fract_z
Gd1 Gd 0.000 0.203 0.000
Ho1 Ho 0.000 0.000 0.391
Cd1 Cd 0.500 0.000 0.043
Cd2 Cd 0.500 0.123 0.673
Cu1 Cu 0.000 0.000 0.796
Au1 Au 0.500 0.165 0.298
```

## Properties
- DFT formation energy: -55.55 kJ/mol of atoms
- Crystal system: orthorhombic
- Size of the total moment: 0.0 μB per formula unit
- Total DFT energy (no corrections): -3.5559 eV per atom



(7)
Density functional theory data (PBE) for a geometry-optimized GdErBr2O structure.

```
data_GdErBr2O
_chemical_formula_sum 'Gd1 Er1 Br2 O1'
_space_group_name_H-M_alt 'P 3 m 1'
_space_group_IT_number 156
_space_group_name_Hall 'P 3 -2"'
_cell_length_a 3.6555
_cell_length_b 3.6555
_cell_length_c 10.2040
_cell_angle_alpha 90.00
_cell_angle_beta 90.00
_cell_angle_gamma 120.00
loop_
_atom_site_label
_atom_site_type_symbol
_atom_site_fract_x
_atom_site_fract_y
_atom_site_fract_z
Gd1 Gd 0.0000 0.0000 0.0000
Er1 Er 0.3333 0.6667 0.2440
Br1 Br 0.0000 0.0000 0.4304
Br2 Br 0.3333 0.6667 0.8055
O1 O 0.6667 0.3333 0.1406
```

## Properties
- Crystal system: trigonal
- Size of the total moment: 0.0 μB per formula unit
- Total DFT energy (no corrections): -5.5932 eV per atom



(8)
Density functional theory data (PBE) for a geometry-optimized PrHfPt structure.

```
data_PrHfPt
_chemical_formula_sum 'Pr4 Hf4 Pt4'
_space_group_name_H-M_alt 'F -4 3 m'
_space_group_IT_number 216
_space_group_name_Hall 'F -4 2 3'
_cell_length_a 6.797
_cell_length_b 6.797
_cell_length_c 6.797
_cell_angle_alpha 90.00
_cell_angle_beta 90.00
_cell_angle_gamma 90.00
loop_
_atom_site_label
_atom_site_type_symbol
_atom_site_fract_x
_atom_site_fract_y
_atom_site_fract_z
Pr1 Pr 0.000 0.000 0.000
Hf1 Hf 0.000 0.000 0.500
Pt1 Pt 0.250 0.250 0.750
```

## Properties
- DFT formation energy: -38.36 kJ/mol of atoms
- Crystal system: cubic
- Size of the total moment: 0.0 μB per formula unit
- Total DFT energy (no corrections): -7.3262 eV per atom



(9)
Density functional theory data (PBE) for a geometry-optimized PmSn2Pt2 structure.

```
data_PmSn2Pt2
_chemical_formula_sum 'Pm2 Sn4 Pt4'
_space_group_name_H-M_alt 'P 1 21/m 1'
_space_group_IT_number 11
_space_group_name_Hall '-P 2yb'
_cell_length_a 4.694
_cell_length_b 4.566
_cell_length_c 10.557
_cell_angle_alpha 90.00
_cell_angle_beta 91.86
_cell_angle_gamma 90.00
loop_
_atom_site_label
_atom_site_type_symbol
_atom_site_fract_x
_atom_site_fract_y
_atom_site_fract_z
Pm1 Pm 0.226 0.250 0.239
Sn1 Sn 0.252 0.750 0.496
Sn2 Sn 0.300 0.250 0.876
Pt1 Pt 0.193 0.750 0.001
Pt2 Pt 0.256 0.250 0.629
```

## Properties
- Crystal system: monoclinic
- Size of the total moment: 0.0 μB per formula unit
- Total DFT energy (no corrections): -5.8058 eV per atom



(10)
Density functional theory data (PBE) for a geometry-optimized ZrAl2Ge structure.

```
data_ZrAl2Ge
_chemical_formula_sum 'Zr4 Al8 Ge4'
_space_group_name_H-M_alt 'F -4 3 m'
_space_group_IT_number 216
_space_group_name_Hall 'F -4 2 3'
_cell_length_a 6.672
_cell_length_b 6.672
_cell_length_c 6.672
_cell_angle_alpha 90.00
_cell_angle_beta 90.00
_cell_angle_gamma 90.00
loop_
_atom_site_label
_atom_site_type_symbol
_atom_site_fract_x
_atom_site_fract_y
_atom_site_fract_z
Zr1 Zr 0.000 0.000 0.000
Al1 Al 0.000 0.000 0.500
Al2 Al 0.250 0.250 0.250
Ge1 Ge 0.250 0.250 0.750
```

## Properties
- Crystal system: cubic
- Size of the total moment: 0.2 μB per formula unit
- Total DFT energy (no corrections): -5.1015 eV per atom



(11)
Density functional theory data (PBE) for a geometry-optimized CsLiCu structure.

```
data_CsLiCu
_chemical_formula_sum 'Cs4 Li4 Cu4'
_space_group_name_H-M_alt 'F -4 3 m'
_space_group_IT_number 216
_space_group_name_Hall 'F -4 2 3'
_cell_length_a 7.994
_cell_length_b 7.994
_cell_length_c 7.994
_cell_angle_alpha 90.00
_cell_angle_beta 90.00
_cell_angle_gamma 90.00
loop_
_atom_site_label
_atom_site_type_symbol
_atom_site_fract_x
_atom_site_fract_y
_atom_site_fract_z
Cs1 Cs 0.000 0.000 0.000
Li1 Li 0.250 0.250 0.250
Cu1 Cu 0.250 0.250 0.750
```

## Properties
- Polymorph energy (0 for the lowest one): 0.298 eV/atom
- Crystal system: cubic
- Total DFT energy (no corrections): -1.3222 eV per atom



(12)
Density functional theory data (PBE) for a geometry-optimized Hf3Al3Pd2Au structure.

```
data_Hf3Al3Pd2Au
_chemical_formula_sum 'Hf3 Al3 Pd2 Au1'
_space_group_name_H-M_alt 'P -6 2 m'
_space_group_IT_number 189
_space_group_name_Hall 'P -6 -2'
_cell_length_a 6.8342
_cell_length_b 6.8342
_cell_length_c 3.9795
_cell_angle_alpha 90.00
_cell_angle_beta 90.00
_cell_angle_gamma 120.00
loop_
_atom_site_label
_atom_site_type_symbol
_atom_site_fract_x
_atom_site_fract_y
_atom_site_fract_z
Hf1 Hf 0.0000 0.4216 0.0000
Al1 Al 0.0000 0.7470 0.5000
Pd1 Pd 0.3333 0.6667 0.5000
Au1 Au 0.0000 0.0000 0.0000
```

## Properties
- Crystal system: hexagonal
- Size of the total moment: 0.0 μB per formula unit
- Total DFT energy (no corrections): -6.7329 eV per atom



(13)
Density functional theory data (PBE) for a geometry-optimized LiPuTa structure.

```
data_LiPuTa
_chemical_formula_sum 'Li4 Pu4 Ta4'
_space_group_name_H-M_alt 'F -4 3 m'
_space_group_IT_number 216
_space_group_name_Hall 'F -4 2 3'
_cell_length_a 6.178
_cell_length_b 6.178
_cell_length_c 6.178
_cell_angle_alpha 90.00
_cell_angle_beta 90.00
_cell_angle_gamma 90.00
loop_
_atom_site_label
_atom_site_type_symbol
_atom_site_fract_x
_atom_site_fract_y
_atom_site_fract_z
Li1 Li 0.000 0.000 0.000
Pu1 Pu 0.000 0.000 0.500
Ta1 Ta 0.250 0.250 0.750
```

## Properties
- Crystal system: cubic
- Size of the total moment: 4.3 μB per formula unit
- Total DFT energy (no corrections): -8.1094 eV per atom



(14)
Density functional theory data (PBE) for a geometry-optimized RbTaPd structure.

```
data_RbTaPd
_chemical_formula_sum 'Rb4 Ta4 Pd4'
_space_group_name_H-M_alt 'F -4 3 m'
_space_group_IT_number 216
_space_group_name_Hall 'F -4 2 3'
_cell_length_a 6.892
_cell_length_b 6.892
_cell_length_c 6.892
_cell_angle_alpha 90.00
_cell_angle_beta 90.00
_cell_angle_gamma 90.00
loop_
_atom_site_label
_atom_site_type_symbol
_atom_site_fract_x
_atom_site_fract_y
_atom_site_fract_z
Rb1 Rb 0.000 0.000 0.000
Ta1 Ta 0.000 0.000 0.500
Pd1 Pd 0.250 0.250 0.750
```

## Properties
- Crystal system: cubic
- Size of the total moment: 1.8 μB per formula unit
- Total DFT energy (no corrections): -4.3900 eV per atom



(15)
Density functional theory data (PBE) for a geometry-optimized CoCuReGe structure.

```
data_CoCuReGe
_chemical_formula_sum 'Co4 Cu4 Re4 Ge4'
_space_group_name_H-M_alt 'F -4 3 m'
_space_group_IT_number 216
_space_group_name_Hall 'F -4 2 3'
_cell_length_a 5.909
_cell_length_b 5.909
_cell_length_c 5.909
_cell_angle_alpha 90.00
_cell_angle_beta 90.00
_cell_angle_gamma 90.00
loop_
_atom_site_label
_atom_site_type_symbol
_atom_site_fract_x
_atom_site_fract_y
_atom_site_fract_z
Co1 Co 0.000 0.000 0.000
Cu1 Cu 0.250 0.250 0.250
Re1 Re 0.000 0.000 0.500
Ge1 Ge 0.250 0.250 0.750
```

## Properties
- Polymorph energy (0 for the lowest one): 0.000 eV/atom
- Crystal system: cubic
- Size of the total moment: 0.8 μB per formula unit
- Total DFT energy (no corrections): -6.6901 eV per atom



(16)
Density functional theory data (PBE) for a geometry-optimized La2TbMg3Tl2In structure.

```
data_La2TbMg3Tl2In
_chemical_formula_sum 'La4 Tb2 Mg6 Tl4 In2'
_space_group_name_H-M_alt 'A m m 2'
_space_group_IT_number 38
_space_group_name_Hall 'A 2 -2'
_cell_length_a 4.792
_cell_length_b 13.274
_cell_length_c 7.789
_cell_angle_alpha 90.00
_cell_angle_beta 90.00
_cell_angle_gamma 90.00
loop_
_atom_site_label
_atom_site_type_symbol
_atom_site_fract_x
_atom_site_fract_y
_atom_site_fract_z
La1 La 0.000 0.216 0.000
Tb1 Tb 0.000 0.000 0.358
Mg1 Mg 0.500 0.000 0.022
Mg2 Mg 0.500 0.120 0.663
Tl1 Tl 0.500 0.161 0.285
In1 In 0.000 0.000 0.774
```

## Properties
- Crystal system: orthorhombic
- Size of the total moment: 0.0 μB per formula unit
- Total DFT energy (no corrections): -3.3367 eV per atom